First-principles (PBE) data for a geometry-optimized ZnGe2I6 structure, as listed in Alexandria via LeMat-Bulk.

Calculated values
- Fermi-level density of states (states/eV per atom) = 0.000
- formation energy without anion corrections (meV per atom) = -360.6
- mass density (g/cm3) = 4.47
- DFT total energy (eV per atom) = -2.562

a b c (Å): 13.6378 18.7585 6.3765
angles (deg): 90.00 117.58 90.00
Closest atoms and distances in Å follow each position.
Space group C2/c (No. 15)
One atom of each set of equivalent atoms:
Zn: 0.0000 0.1807 0.2500 (multiplicity 4)  4 I 2.63-2.68
Ge: 0.1418 0.4040 0.5927 (multiplicity 8)  3 I 2.78-2.87
I: 0.1213 0.0914 0.1373 (multiplicity 8)  1 Zn 2.68, 1 Ge 2.87
I: 0.1286 0.4162 0.1453 (multiplicity 8)  1 Ge 2.78
I: 0.1300 0.2536 0.6312 (multiplicity 8)  1 Zn 2.63, 1 Ge 2.84

=====

First-principles (PBE) data for a geometry-optimized Tb12Ho2Tm5 structure, as listed in Alexandria via LeMat-Bulk.

Calculated values
- Fermi-level density of states (states/eV per atom) = 1.474
- distance to the lowest polymorph of the same formula (meV per atom) = 56.2
- formation enthalpy at 0 K (kJ/mol of formula units) = 234
- mass density (g/cm3) = 8.44
- DFT total energy (eV per atom) = -4.455

a b c (Å): 15.6630 9.1224 8.4849
angles (deg): 90.00 91.01 90.00
Closest atoms and distances in Å follow each position.
Space group C2/m (No. 12)
One atom of each set of equivalent atoms:
Tb: 0.0593 0.0000 0.3368 (multiplicity 4)  2 Tm 3.35-3.53, 7 Tb 3.36-3.45, 2 Ho 3.39
Tb: 0.0916 0.5000 0.8851 (multiplicity 4)  3 Tm 3.39-3.55, 5 Tb 3.41-3.57, 2 Ho 3.43
Tb: 0.1265 0.1941 0.6645 (multiplicity 8)  4 Tm 3.34-3.68, 5 Tb 3.41-3.54, 1 Ho 3.50
Tb: 0.1548 0.3179 0.2414 (multiplicity 8)  4 Tb 3.32-3.57, 1 Ho 3.40, 4 Tm 3.46-3.69
Ho: 0.0000 0.1765 0.0000 (multiplicity 4)  1 Ho 3.22, 8 Tb 3.39-3.50, 2 Tm 3.49
Tm: 0.0000 0.5000 0.5000 (multiplicity 2)  10 Tb 3.55-3.69, 2 Tm 3.67
Tm: 0.1979 0.0000 0.0133 (multiplicity 4)  8 Tb 3.39-3.61, 2 Ho 3.49, 1 Tm 3.66
Tm: 0.2318 0.5000 0.5727 (multiplicity 4)  10 Tb 3.34-3.73, 2 Tm 3.66-3.67

=====

First-principles (PBE) data for a geometry-optimized NdGa2Tc2Ge structure, as listed in Alexandria via LeMat-Bulk.

Calculated values
- Fermi-level density of states (states/eV per atom) = 0.736
- formation enthalpy at 0 K (kJ/mol of formula units) = -72
- mass density (g/cm3) = 7.59
- DFT total energy (eV per atom) = -6.153

a b c (Å): 4.6129 4.6129 5.6787
angles (deg): 90.00 90.00 90.00
Closest atoms and distances in Å follow each position.
Space group P4/mmm (No. 123)
One atom of each set of equivalent atoms:
Nd: 0.0000 0.0000 0.0000 (multiplicity 1)  2 Ge 2.84
Ga: 0.5000 0.5000 0.2424 (multiplicity 2)  4 Tc 2.73, 2 Ga 2.75-2.93
Tc: 0.0000 0.5000 0.5000 (multiplicity 2)  2 Ge 2.31
Ge: 0.0000 0.0000 0.5000 (multiplicity 1)  4 Tc 2.31

=====

First-principles (PBE) data for a geometry-optimized DyEr12Sc7 structure, as listed in Alexandria via LeMat-Bulk.

Calculated values
- Fermi-level density of states (states/eV per atom) = 1.910
- distance to the lowest polymorph of the same formula (meV per atom) = 0.0
- formation enthalpy at 0 K (kJ/mol of formula units) = 335
- mass density (g/cm3) = 7.11
- DFT total energy (eV per atom) = -5.010

a b c (Å): 14.5753 14.5753 9.4645
angles (deg): 90.00 90.00 120.00
Closest atoms and distances in Å follow each position.
Space group R-3 (No. 148, hexagonal axes)
One atom of each set of equivalent atoms:
Dy: 0.0000 0.0000 0.0000 (multiplicity 3)  6 Sc 3.27, 6 Er 3.50
Er: 0.0347 0.2555 0.5811 (multiplicity 18)  3 Sc 3.16-3.38, 3 Er 3.23-3.50
Er: 0.0390 0.1886 0.2574 (multiplicity 18)  4 Sc 3.17-3.53, 3 Er 3.23-3.50, 1 Dy 3.50
Sc: 0.0000 0.0000 0.5000 (multiplicity 3)  12 Er 3.40-3.58
Sc: 0.0735 0.2475 0.9323 (multiplicity 18)  6 Er 3.16-3.53, 3 Sc 3.22-3.46, 1 Dy 3.27